Computed, not measured: Tl2SbMo after structural relaxation at the PBE level of DFT.

Structure (POSCAR):
```
Tl2SbMo
1.0
-1.6989 2.5562 0.6020
-0.4124 -0.8342 -2.9861
-7.8931 -5.8903 2.7357
Mo Sb Tl
1 1 2
direct
0.5000 0.5000 0.2500 Mo
0.5000 0.5000 0.7500 Sb
0.0000 0.0000 0.0251 Tl
0.0000 0.0000 0.4749 Tl
```

Output
- DOS at the Fermi energy (states/eV/cell) = 3.2
- space group = Cmmm
- spin magnetization (μB per formula unit) = 0.00
- DFT total energy (eV per atom) = -4.226